! ZrFeAgBi PBE relaxed; values from VASP
! energy relative to the lowest polymorph listed for this composition: 0 meV/atom
! final energy: -5.6867 eV/atom
! M_tot: 0.304 μB per atom
! volume: 18.90 Å³ per atom
! space group: No. 216
&SYSTEM
  ibrav = 0, nat = 4, ntyp = 4
/
ATOMIC_SPECIES
Ag 107.87 Ag.upf
Bi 208.98 Bi.upf
Zr 91.22 Zr.upf
Fe 55.84 Fe.upf
CELL_PARAMETERS angstrom
0.000 3.356 3.356
3.356 0.000 3.356
3.356 3.356 0.000
ATOMIC_POSITIONS angstrom
Ag 1.678 1.678 1.678
Bi 0.000 0.000 0.000
Zr 3.356 3.356 3.356
Fe 5.034 5.034 5.034